Here is crystalline TlIn2Bi2 at its relaxed geometry from Alexandria. Energies are from GGA-PBE.

```
data_TlIn2Bi2
_cell_length_a 15.8157
_cell_length_b 5.8772
_cell_length_c 3.4106
_cell_angle_alpha 90.00
_cell_angle_beta 101.41
_cell_angle_gamma 90.00
_space_group_name_H-M_alt 'C 1 2/m 1'
_space_group_IT_number 12
_space_group_name_Hall '-C 2y'
loop_
_atom_site_label
_atom_site_type_symbol
_atom_site_fract_x
_atom_site_fract_y
_atom_site_fract_z
Tl1 Tl 0.0000 0.0000 0.0000
In1 In 0.2011 0.0000 0.7088
Bi1 Bi 0.1167 0.5000 0.6200
```

Computed properties:
* magnetic moment: 0.00 μB/f.u.
* formation enthalpy at 0 K: 9 meV per atom
* polymorph energy (0 for the lowest one): 0.000 eV per atom

Here is crystalline Ce2CuRh at its relaxed geometry from Alexandria. Energies are from GGA-PBE.

```
data_Ce2CuRh
_cell_length_a 2.9854
_cell_length_b 2.9854
_cell_length_c 31.4071
_cell_angle_alpha 90.00
_cell_angle_beta 90.00
_cell_angle_gamma 120.00
_space_group_name_H-M_alt 'R -3 m'
_space_group_IT_number 166
_space_group_name_Hall '-R 3 2"'
loop_
_atom_site_label
_atom_site_type_symbol
_atom_site_fract_x
_atom_site_fract_y
_atom_site_fract_z
Ce1 Ce 0.0000 0.0000 0.0905
Cu1 Cu 0.0000 0.0000 0.0000
Rh1 Rh 0.0000 0.0000 0.5000
```

Computed properties:
* magnetic moment: 0.00 μB/f.u.
* formation enthalpy at 0 K: 160 meV per atom

Here is crystalline Ho2ErTm5In at its relaxed geometry from Alexandria. Energies are from GGA-PBE.

```
data_Ho2ErTm5In
_cell_length_a 5.2505
_cell_length_b 20.1297
_cell_length_c 10.2729
_cell_angle_alpha 90.00
_cell_angle_beta 90.00
_cell_angle_gamma 90.00
_space_group_name_H-M_alt 'C m c m'
_space_group_IT_number 63
_space_group_name_Hall '-C 2c 2'
loop_
_atom_site_label
_atom_site_type_symbol
_atom_site_fract_x
_atom_site_fract_y
_atom_site_fract_z
Ho1 Ho 0.0000 0.1162 0.0364
Er1 Er 0.0000 0.2086 0.7500
Tm1 Tm 0.0000 0.0090 0.7500
Tm2 Tm 0.0000 0.2875 0.0526
Tm3 Tm 0.0000 0.3812 0.7500
Tm4 Tm 0.0000 0.5000 0.0000
In1 In 0.0000 0.4036 0.2500
```

Computed properties:
* magnetic moment: 0.00 μB/f.u.
* formation enthalpy at 0 K: 2 meV per atom

Here is crystalline SiGeRh2Se at its relaxed geometry from Alexandria. Energies are from GGA-PBE.

```
data_SiGeRh2Se
_cell_length_a 4.4824
_cell_length_b 4.4824
_cell_length_c 4.8176
_cell_angle_alpha 90.00
_cell_angle_beta 90.00
_cell_angle_gamma 90.00
_space_group_name_H-M_alt 'P 4/m m m'
_space_group_IT_number 123
_space_group_name_Hall '-P 4 2'
loop_
_atom_site_label
_atom_site_type_symbol
_atom_site_fract_x
_atom_site_fract_y
_atom_site_fract_z
Si1 Si 0.0000 0.0000 0.0000
Ge1 Ge 0.5000 0.5000 0.5000
Rh1 Rh 0.0000 0.5000 0.0000
Se1 Se 0.0000 0.0000 0.5000
```

Computed properties:
* magnetic moment: 0.00 μB/f.u.
* formation energy without anion corrections: 0.42 eV/atom

Here is crystalline LiFe2As at its relaxed geometry from Alexandria. Energies are from GGA-PBE.

```
data_LiFe2As
_cell_length_a 3.1015
_cell_length_b 4.3806
_cell_length_c 8.2705
_cell_angle_alpha 90.00
_cell_angle_beta 90.00
_cell_angle_gamma 90.00
_space_group_name_H-M_alt 'C m m m'
_space_group_IT_number 65
_space_group_name_Hall '-C 2 2'
loop_
_atom_site_label
_atom_site_type_symbol
_atom_site_fract_x
_atom_site_fract_y
_atom_site_fract_z
Li1 Li 0.0000 0.0000 0.0000
Fe1 Fe 0.0000 0.5000 0.2621
As1 As 0.0000 0.0000 0.5000
```

Computed properties:
* magnetic moment: 4.97 μB/f.u.
* formation enthalpy at 0 K: 330 meV per atom

Here is crystalline Th8Si3Te4Au at its relaxed geometry from Alexandria. Energies are from GGA-PBE.

```
data_Th8Si3Te4Au
_cell_length_a 8.6979
_cell_length_b 8.6979
_cell_length_c 21.9175
_cell_angle_alpha 90.00
_cell_angle_beta 90.00
_cell_angle_gamma 120.00
_space_group_name_H-M_alt 'R -3 m'
_space_group_IT_number 166
_space_group_name_Hall '-R 3 2"'
loop_
_atom_site_label
_atom_site_type_symbol
_atom_site_fract_x
_atom_site_fract_y
_atom_site_fract_z
Th1 Th 0.0000 0.0000 0.2374
Th2 Th 0.0055 0.5028 0.7608
Si1 Si 0.0000 0.5000 0.5000
Te1 Te 0.0000 0.0000 0.0000
Te2 Te 0.0000 0.5000 0.0000
Au1 Au 0.0000 0.0000 0.5000
```

Computed properties:
* magnetic moment: 0.00 μB/f.u.
* formation energy without anion corrections: -0.93 eV/atom